# 1
Computed, not measured: a relaxed structure of LiAcEuSn at the PBE level of DFT.

## Properties
* crystal system: cubic
* ΔH_f (0 K): -0.402 eV/atom

Cell lengths 7.9852, 7.9852, 7.9852 Å; angles 90.00, 90.00, 90.00 degrees
Last column: nearest neighbours and their distance in Å.
Space group F-43m (No. 216)
One atom of each set of equivalent atoms:
Li1 0.0000 0.0000 0.0000 [4 per cell]  4 Ac 3.46, 4 Eu 3.46
Ac1 0.2500 0.2500 0.2500 [4 per cell]  4 Sn 3.46, 4 Li 3.46
Eu1 0.2500 0.2500 0.7500 [4 per cell]  4 Sn 3.46, 4 Li 3.46
Sn1 0.0000 0.0000 0.5000 [4 per cell]  4 Ac 3.46, 4 Eu 3.46


# 2
Computed, not measured: a relaxed structure of ZnAgBr2 at the PBE level of DFT.

## Properties
* distance to the lowest polymorph of the same formula: 78 meV/atom
* crystal system: tetragonal

Cell lengths 3.9276, 3.9276, 14.7961 Å; angles 90.00, 90.00, 90.00 degrees
Last column: nearest neighbours and their distance in Å.
Space group I-4m2 (No. 119)
One atom of each set of equivalent atoms:
Zn1 0.0000 0.0000 0.0000 [2 per cell]  4 Br 2.78
Ag1 0.0000 0.5000 0.7500 [2 per cell]  4 Br 2.78
Br1 0.0000 0.0000 0.5000 [2 per cell]  4 Zn 2.78
Br2 0.0000 0.5000 0.2500 [2 per cell]  4 Ag 2.78